[1]
VASP calculation (PBE-GGA) on a geometry-optimized La2TaNbN5 structure.

## Properties
Uncorrected formation energy   -1.235 eV/atom
Mass density   8.10 g/cm³

```
La2TaNbN5
1.0
-1.380 3.113 0.335
-1.999 -2.077 -6.405
-9.022 -4.458 4.262
Ta La N Nb
2 4 10 2
direct
0.776 0.552 0.513
0.224 0.448 0.013
0.107 0.213 0.689
0.147 0.294 0.289
0.893 0.787 0.189
0.853 0.706 0.789
0.278 0.556 0.640
0.492 0.984 0.789
0.369 0.738 0.003
0.722 0.444 0.140
0.631 0.262 0.503
0.685 0.370 0.890
0.944 0.889 0.550
0.056 0.111 0.050
0.315 0.630 0.390
0.508 0.016 0.289
0.468 0.935 0.460
0.532 0.065 0.960
```



[2]
VASP calculation (PBE-GGA) on a geometry-optimized Hg2Br3O2 structure.

## Properties
Uncorrected formation energy   -0.187 eV/atom
Mass density   5.35 g/cm³

```
Hg2Br3O2
1.0
-0.693 -3.779 2.134
6.794 -1.584 -5.850
-2.006 -6.448 12.232
O Br Hg
2 3 2
direct
0.748 0.995 0.410
0.252 0.005 0.590
0.500 0.000 0.000
0.433 0.462 0.746
0.567 0.538 0.254
0.757 0.277 0.950
0.243 0.723 0.050
```



[3]
VASP calculation (PBE-GGA) on a geometry-optimized Ac12Hg3H5 structure.

## Properties
Mass density   8.67 g/cm³

```
Ac12Hg3H5
1.0
-11.925 8.339 3.253
-4.350 -13.949 -2.972
9.334 -0.075 11.627
Hg Ac H
12 48 20
direct
0.125 0.250 0.875
0.375 0.750 0.625
0.875 0.750 0.125
0.250 0.625 0.875
0.750 0.875 0.625
0.125 0.875 0.750
0.250 0.125 0.375
0.625 0.250 0.375
0.875 0.125 0.250
0.375 0.625 0.250
0.750 0.375 0.125
0.625 0.375 0.750
0.808 0.903 0.292
0.389 0.983 0.792
0.595 0.611 0.403
0.889 0.597 0.905
0.308 0.792 0.403
0.483 0.692 0.095
0.983 0.389 0.292
0.095 0.903 0.111
0.889 0.292 0.483
0.292 0.403 0.808
0.483 0.792 0.889
0.403 0.111 0.595
0.097 0.192 0.208
0.808 0.905 0.017
0.292 0.889 0.983
0.017 0.405 0.808
0.611 0.595 0.903
0.192 0.097 0.708
0.708 0.111 0.017
0.692 0.208 0.597
0.983 0.595 0.192
0.389 0.405 0.097
0.692 0.483 0.595
0.903 0.808 0.792
0.517 0.308 0.905
0.597 0.708 0.692
0.517 0.208 0.111
0.208 0.692 0.097
0.208 0.517 0.611
0.403 0.292 0.308
0.192 0.095 0.983
0.017 0.611 0.708
0.405 0.389 0.597
0.111 0.708 0.517
0.792 0.483 0.389
0.097 0.905 0.389
0.611 0.017 0.208
0.308 0.517 0.405
0.405 0.017 0.308
0.792 0.308 0.903
0.595 0.983 0.692
0.708 0.597 0.192
0.903 0.095 0.611
0.095 0.192 0.483
0.905 0.808 0.517
0.597 0.889 0.405
0.111 0.403 0.095
0.905 0.097 0.889
0.625 0.875 0.250
0.500 0.500 0.000
0.625 0.750 0.875
0.375 0.125 0.750
0.250 0.375 0.625
0.500 0.000 0.000
0.875 0.625 0.750
0.750 0.625 0.375
0.000 0.500 0.500
0.875 0.250 0.625
0.000 0.000 0.000
0.125 0.375 0.250
0.125 0.750 0.375
0.750 0.125 0.875
0.500 0.000 0.500
0.000 0.000 0.500
0.000 0.500 0.000
0.250 0.875 0.125
0.500 0.500 0.500
0.375 0.250 0.125
```



[4]
VASP calculation (PBE-GGA) on a geometry-optimized V2FeNiH structure.

## Properties
Polymorph energy (0 for the lowest one)   0.0177 eV/atom
Mass density   7.29 g/cm³

```
V2FeNiH
1.0
-3.274 0.646 -1.690
0.624 -2.878 -2.307
-1.606 -2.176 2.280
V Fe H Ni
2 1 1 1
direct
0.500 0.000 0.000
0.000 0.500 0.000
0.500 0.500 0.500
0.000 0.000 0.000
0.000 0.000 0.500
```



[5]
VASP calculation (PBE-GGA) on a geometry-optimized K3Tm2InS6 structure.

## Properties
Uncorrected formation energy   -1.538 eV/atom
Mass density   4.18 g/cm³

```
K3Tm2InS6
1.0
6.889 -0.001 0.000
-3.444 5.966 0.000
-1.149 -1.989 7.375
Tm S K In
2 6 3 1
direct
0.667 0.333 0.000
0.333 0.667 0.000
0.066 0.397 0.199
0.397 0.066 0.199
0.934 0.603 0.801
0.603 0.934 0.801
0.264 0.264 0.801
0.736 0.736 0.199
0.167 0.833 0.500
0.833 0.167 0.500
0.500 0.500 0.500
0.000 0.000 0.000
```



[6]
VASP calculation (PBE-GGA) on a geometry-optimized Cs3Ac3TiS8 structure.

## Properties
Uncorrected formation energy   -1.695 eV/atom
Mass density   4.42 g/cm³

```
Cs3Ac3TiS8
1.0
-5.745 -6.286 0.656
6.210 -0.483 -5.847
2.604 -1.427 9.130
Ti S Ac Cs
1 8 3 3
direct
0.000 0.000 0.500
0.732 0.465 0.697
0.200 0.971 0.671
0.800 0.029 0.329
0.200 0.400 0.671
0.771 0.971 0.671
0.268 0.535 0.303
0.800 0.600 0.329
0.229 0.029 0.329
0.500 0.500 0.500
0.500 0.000 0.500
0.000 0.500 0.500
0.000 0.500 0.000
0.000 0.000 0.000
0.500 0.500 0.000
```



[7]
VASP calculation (PBE-GGA) on a geometry-optimized TbSc3Cd structure.

## Properties
Calculated formation energy   -0.012 eV/atom
Mass density   5.38 g/cm³

```
TbSc3Cd
1.0
5.062 0.934 0.000
0.519 7.896 0.000
0.000 0.000 6.354
Tb Cd Sc
2 2 6
direct
0.802 0.351 0.250
0.198 0.649 0.750
0.926 0.053 0.750
0.074 0.947 0.250
0.775 0.437 0.750
0.355 0.207 0.990
0.355 0.207 0.510
0.225 0.563 0.250
0.645 0.793 0.010
0.645 0.793 0.490
```



[8]
VASP calculation (PBE-GGA) on a geometry-optimized BaLa3Ir structure.

## Properties
Calculated formation energy   -0.287 eV/atom
Polymorph energy (0 for the lowest one)   0.0318 eV/atom
Mass density   6.33 g/cm³

```
BaLa3Ir
1.0
-1.281 3.638 1.639
-10.492 -7.731 3.608
2.937 -1.723 6.116
La Ir Ba
6 2 2
direct
0.298 0.439 0.319
0.423 0.688 0.634
0.542 0.927 0.954
0.171 0.185 0.082
0.803 0.448 0.857
0.928 0.699 0.130
0.734 0.309 0.190
0.369 0.580 0.984
0.673 0.189 0.591
0.043 0.929 0.461
```



[9]
VASP calculation (PBE-GGA) on a geometry-optimized VCuIr structure.

## Properties
Calculated formation energy   -0.180 eV/atom
Polymorph energy (0 for the lowest one)   0.0000 eV/atom
Mass density   12.60 g/cm³

```
VCuIr
1.0
3.136 0.000 0.000
0.000 3.136 0.000
-1.568 -1.568 4.112
V Ir Cu
1 1 1
direct
0.947 0.947 0.893
0.289 0.289 0.579
0.614 0.614 0.228
```



[10]
VASP calculation (PBE-GGA) on a geometry-optimized KCr2Cu structure.

## Properties
Calculated formation energy   0.642 eV/atom
Polymorph energy (0 for the lowest one)   0.0000 eV/atom
Mass density   4.39 g/cm³

```
KCr2Cu
1.0
-2.355 -1.795 0.938
1.994 -1.802 1.557
-0.928 4.649 6.567
Cr K Cu
2 1 1
direct
0.500 0.500 0.240
0.000 0.000 0.096
0.500 0.500 0.741
0.000 0.000 0.423
```



[11]
VASP calculation (PBE-GGA) on a geometry-optimized BaNbW2 structure.

## Properties
Calculated formation energy   1.435 eV/atom
Polymorph energy (0 for the lowest one)   0.0000 eV/atom
Mass density   12.15 g/cm³

```
BaNbW2
1.0
0.000 3.444 3.444
3.444 0.000 3.444
3.444 3.444 0.000
Ba Nb W
1 1 2
direct
0.500 0.500 0.500
0.000 0.000 0.000
0.250 0.250 0.250
0.750 0.750 0.750
```



[12]
VASP calculation (PBE-GGA) on a geometry-optimized Na4GaBr2 structure.

## Properties
Uncorrected formation energy   -0.509 eV/atom
Mass density   2.07 g/cm³

```
Na4GaBr2
1.0
5.758 0.000 0.000
0.000 5.758 0.000
2.879 2.879 7.762
Br Na Ga
2 4 1
direct
0.365 0.365 0.269
0.635 0.635 0.731
0.188 0.188 0.623
0.000 0.500 0.000
0.500 0.000 0.000
0.812 0.812 0.377
0.000 0.000 0.000
```



[13]
VASP calculation (PBE-GGA) on a geometry-optimized ZnTc2Hg structure.

## Properties
Calculated formation energy   0.555 eV/atom
Polymorph energy (0 for the lowest one)   0.4251 eV/atom
Mass density   11.94 g/cm³

```
ZnTc2Hg
1.0
-1.523 -2.400 -4.147
2.143 -2.785 3.595
-2.557 -0.433 1.189
Tc Zn Hg
2 1 1
direct
0.500 0.500 0.000
0.000 0.000 0.000
0.500 0.000 0.500
0.000 0.500 0.500
```



[14]
VASP calculation (PBE-GGA) on a geometry-optimized Sm4Zr structure.

## Properties
Calculated formation energy   0.517 eV/atom
Mass density   6.39 g/cm³

```
Sm4Zr
1.0
5.645 0.000 0.000
0.000 5.645 0.000
0.000 0.000 5.645
Sm Zr
4 1
direct
0.500 0.500 0.000
0.000 0.000 0.000
0.500 0.000 0.500
0.000 0.500 0.500
0.500 0.500 0.500
```



[15]
VASP calculation (PBE-GGA) on a geometry-optimized ReHg2Te structure.

## Properties
Polymorph energy (0 for the lowest one)   0.5852 eV/atom
Uncorrected formation energy   0.990 eV/atom
Mass density   14.05 g/cm³

```
ReHg2Te
1.0
-2.854 1.981 -3.968
-1.578 -4.124 -2.884
-0.401 0.838 5.191
Hg Re Te
2 1 1
direct
0.000 0.000 0.000
0.250 0.750 0.500
0.500 0.500 0.000
0.750 0.250 0.500
```



[16]
VASP calculation (PBE-GGA) on a geometry-optimized LaGaHgB2 structure.

## Properties
Calculated formation energy   1.311 eV/atom
Mass density   5.73 g/cm³

```
LaGaHgB2
1.0
4.487 0.000 0.000
0.000 6.198 0.000
0.000 0.000 4.487
Ga B La Hg
1 2 1 1
direct
0.500 0.500 0.500
0.000 0.000 0.500
0.500 0.000 0.000
0.000 0.500 0.000
0.000 0.000 0.000
```



[17]
VASP calculation (PBE-GGA) on a geometry-optimized CdInP2O structure.

## Properties
Polymorph energy (0 for the lowest one)   0.1420 eV/atom
Uncorrected formation energy   0.686 eV/atom
Mass density   4.77 g/cm³

```
CdInP2O
1.0
5.117 0.000 0.000
0.000 5.117 0.000
0.000 0.000 4.055
P O Cd In
2 1 1 1
direct
0.500 0.000 0.000
0.000 0.500 0.000
0.000 0.000 0.500
0.000 0.000 0.000
0.500 0.500 0.500
```



[18]
VASP calculation (PBE-GGA) on a geometry-optimized Ti5As2P structure.

## Properties
Calculated formation energy   -0.441 eV/atom
Polymorph energy (0 for the lowest one)   0.5097 eV/atom
Mass density   4.28 g/cm³

```
Ti5As2P
1.0
4.722 0.000 0.000
-2.361 6.176 0.000
0.000 0.000 11.191
Ti As P
10 4 2
direct
0.073 0.146 0.122
0.927 0.854 0.878
0.697 0.394 0.549
0.303 0.606 0.451
0.927 0.854 0.622
0.697 0.394 0.951
0.282 0.564 0.750
0.303 0.606 0.049
0.073 0.146 0.378
0.718 0.436 0.250
0.130 0.260 0.909
0.870 0.740 0.091
0.130 0.260 0.591
0.870 0.740 0.409
0.228 0.456 0.250
0.772 0.544 0.750
```



[19]
VASP calculation (PBE-GGA) on a geometry-optimized Bi3OsO6 structure.

## Properties
Uncorrected formation energy   -0.873 eV/atom
Mass density   9.04 g/cm³

```
Bi3OsO6
1.0
-1.228 -5.955 -0.508
0.718 0.501 -7.606
6.756 -1.666 3.194
Bi O Os
6 12 2
direct
0.923 0.589 0.411
0.940 0.099 0.346
0.940 0.654 0.901
0.440 0.901 0.654
0.423 0.411 0.589
0.440 0.346 0.099
0.236 0.130 0.573
0.202 0.339 0.326
0.702 0.661 0.674
0.236 0.427 0.870
0.702 0.326 0.339
0.123 0.108 0.892
0.202 0.674 0.661
0.736 0.573 0.130
0.196 0.773 0.227
0.736 0.870 0.427
0.696 0.227 0.773
0.623 0.892 0.108
0.489 0.759 0.241
0.989 0.241 0.759
```



[20]
VASP calculation (PBE-GGA) on a geometry-optimized LiCaSeBrF structure.

## Properties
Polymorph energy (0 for the lowest one)   0.0504 eV/atom
Uncorrected formation energy   -1.905 eV/atom
Mass density   3.29 g/cm³

```
LiCaSeBrF
1.0
6.779 0.000 0.029
0.000 3.455 0.000
-5.416 0.000 9.682
Ca Br Se F Li
2 2 2 2 2
direct
0.386 0.000 0.638
0.386 0.500 0.138
0.335 0.000 0.339
0.335 0.500 0.839
0.953 0.000 0.959
0.953 0.500 0.459
0.601 0.500 0.651
0.601 0.000 0.151
0.913 0.500 0.753
0.913 0.000 0.253
```



Across the entries above, energy takes the values -9.3906, -2.4072, -3.5743, -7.2609, -4.8494, -5.4155, -4.9203, -5.4006, -7.5388, -5.4685, -8.0400, -2.1736, -5.0216, -4.9679, -3.0582, -3.0107, -3.2005, -7.2135, -6.1354, -4.0936 eV/atom, respectively.